DFT (PBE with a Hubbard U) results for a geometry-optimized SrMn2CrF8 structure.

```
SrMn2CrF8
1.0
-4.053 2.559 1.779
-2.755 -0.885 -4.331
-2.461 -5.803 2.749
Cr F Mn Sr
1 8 2 1
Cartesian
0.000 0.000 0.000
-7.126 -4.660 0.989
-5.740 -2.654 2.702
-5.810 -1.788 -0.371
-4.355 0.610 1.156
-2.143 0.532 -0.793
-3.459 -2.341 0.567
-4.914 -4.739 -0.959
-3.529 -1.474 -2.505
-3.989 -0.541 -0.624
-5.280 -3.588 0.820
-1.231 -2.901 1.374
```

Output
V: 183.0 Å³ per cell
total magnetic moment: 14.0 Bohr magnetons per cell
symmetry: P2/m, No. 10
raw total energy: -6.189 eV/atom